First-principles (PBE-GGA) data for Pr6NiOs2Cl3 after structural relaxation, as listed in Alexandria via LeMat-Bulk.

a b c (Å): 7.081 7.081 8.026
angles (deg): 98.45 98.45 120.01
Fractional coordinates of all 12 atoms:
Pr: 0.095 0.431 0.794
Pr: 0.232 0.232 0.206
Pr: 0.431 0.095 0.794
Pr: 0.569 0.905 0.206
Pr: 0.768 0.768 0.794
Pr: 0.905 0.569 0.206
Ni: 0.500 0.500 0.000
Os: 0.166 0.834 0.000
Os: 0.834 0.166 0.000
Cl: 0.000 0.000 0.500
Cl: 0.330 0.670 0.500
Cl: 0.670 0.330 0.500

Properties
DFT total energy: -6.035 eV per atom
Magnetic moment: 0.0 μB per formula unit
Density of states at the Fermi level: 3.933 states/eV/f.u.
Crystal system: monoclinic

First-principles (PBE-GGA) data for Pr4NiOsCl2 after structural relaxation, as listed in Alexandria via LeMat-Bulk.

a b c (Å): 7.020 4.104 7.999
angles (deg): 90.00 106.97 90.00
Fractional coordinates of all 8 atoms:
Pr: 0.232 0.000 0.209
Pr: 0.267 0.500 0.798
Pr: 0.733 0.500 0.202
Pr: 0.768 0.000 0.791
Ni: 0.500 0.000 0.000
Os: 0.000 0.500 0.000
Cl: 0.000 0.000 0.500
Cl: 0.500 0.500 0.500

Properties
DFT total energy: -5.842 eV per atom
Magnetic moment: 0.0 μB per formula unit
Density of states at the Fermi level: 1.864 states/eV/f.u.
Crystal system: monoclinic

First-principles (PBE-GGA) data for Rb2NiOsCl6 after structural relaxation, as listed in Alexandria via LeMat-Bulk.

a b c (Å): 6.960 6.960 6.960
angles (deg): 115.27 115.27 98.41
Fractional coordinates of all 10 atoms:
Rb: 0.250 0.750 0.500
Rb: 0.750 0.250 0.500
Ni: 0.000 0.000 0.000
Os: 0.500 0.500 0.000
Cl: 0.239 0.239 0.000
Cl: 0.271 0.271 0.542
Cl: 0.271 0.729 0.000
Cl: 0.729 0.271 0.000
Cl: 0.729 0.729 0.458
Cl: 0.761 0.761 0.000

Properties
DFT total energy: -3.856 eV per atom
Magnetic moment: 2.0 μB per formula unit
Density of states at the Fermi level: 10.892 states/eV/f.u.
Crystal system: tetragonal

First-principles (PBE-GGA) data for NiOsSCl2 after structural relaxation, as listed in Alexandria via LeMat-Bulk.

a b c (Å): 4.979 4.979 4.365
angles (deg): 90.00 90.00 90.00
Fractional coordinates of all 5 atoms:
Ni: 0.000 0.000 0.000
Os: 0.500 0.500 0.500
S: 0.500 0.500 0.000
Cl: 0.000 0.500 0.500
Cl: 0.500 0.000 0.500

Properties
Distance to the lowest polymorph of the same formula: 0 meV per atom
Magnetic moment: 0.9 μB per formula unit
Density of states at the Fermi level: 12.991 states/eV/f.u.
Crystal system: tetragonal